Density functional theory data (GGA-PBE) for a relaxed structure of KNaLa2.

Computed properties:
Total energy   -2.51 eV per atom
Energy of formation from the pure elements   0.56 eV per atom
V   41.53 Å³ per atom

Unit cell a=8.726 b=8.726 c=8.726 alpha=90.00 beta=90.00 gamma=90.00
Space group Fm-3m (No. 225)
Asymmetric unit:
1 K 0.000 0.000 0.000 (multiplicity 4)
2 Na 0.000 0.000 0.500 (multiplicity 4)
3 La 0.250 0.250 0.250 (multiplicity 8)

=====

Density functional theory data (GGA-PBE) for a relaxed structure of K2NaLa.

Computed properties:
Total energy   -1.84 eV per atom
Energy of formation from the pure elements   0.27 eV per atom
V   47.37 Å³ per atom

Unit cell a=3.8564 b=3.8564 c=44.1329 alpha=90.00 beta=90.00 gamma=120.00
Space group R-3m (No. 166, hexagonal axes)
Asymmetric unit:
1 K 0.0000 0.0000 0.0863 (multiplicity 6)
2 Na 0.0000 0.0000 0.5000 (multiplicity 3)
3 La 0.0000 0.0000 0.0000 (multiplicity 3)

=====

Density functional theory data (GGA-PBE) for a relaxed structure of KNaLa.

Computed properties:
Total energy   -2.33 eV per atom
Energy of formation from the pure elements   0.12 eV per atom
V   45.46 Å³ per atom

Unit cell a=6.802 b=3.914 c=20.628 alpha=90.00 beta=96.69 gamma=90.00
Space group C2/m (No. 12)
Asymmetric unit:
1 K 0.129 0.000 0.400 (multiplicity 4)
2 Na 0.243 0.500 0.226 (multiplicity 4)
3 La 0.141 0.500 0.929 (multiplicity 4)

=====

Density functional theory data (GGA-PBE) for a relaxed structure of KNaLa3.

Computed properties:
Total energy   -2.68 eV per atom
Excess energy over the best structure of this formula in the dataset   0.000 eV per atom
Energy of formation from the pure elements   0.76 eV per atom
V   45.65 Å³ per atom

Unit cell a=6.112 b=6.112 c=6.112 alpha=90.00 beta=90.00 gamma=90.00
Space group Pm-3m (No. 221)
Asymmetric unit:
1 K 0.000 0.000 0.000 (multiplicity 1)
2 Na 0.500 0.500 0.500 (multiplicity 1)
3 La 0.000 0.500 0.500 (multiplicity 3)

=====

Density functional theory data (GGA-PBE) for a relaxed structure of KNaLa2.

Computed properties:
Total energy   -2.51 eV per atom
Energy of formation from the pure elements   0.56 eV per atom
V   40.63 Å³ per atom

Unit cell a=9.896 b=9.896 c=6.638 alpha=90.00 beta=90.00 gamma=90.00
Space group I-42d (No. 122)
Asymmetric unit:
1 K 0.000 0.000 0.000 (multiplicity 4)
2 Na 0.000 0.000 0.500 (multiplicity 4)
3 La 0.240 0.750 0.625 (multiplicity 8)

=====

Density functional theory data (GGA-PBE) for a relaxed structure of KNa2La.

Computed properties:
Total energy   -1.68 eV per atom
Excess energy over the best structure of this formula in the dataset   0.246 eV per atom
Energy of formation from the pure elements   0.49 eV per atom
V   39.62 Å³ per atom

Unit cell a=9.196 b=9.196 c=7.495 alpha=90.00 beta=90.00 gamma=90.00
Space group I-42d (No. 122)
Asymmetric unit:
1 K 0.000 0.000 0.000 (multiplicity 4)
2 Na 0.232 0.250 0.125 (multiplicity 8)
3 La 0.000 0.000 0.500 (multiplicity 4)